Below is SiNiW2 after structural relaxation, with properties calculated at the PBE level. Values from VASP.

Geometry as Quantum ESPRESSO input:
```
&SYSTEM
  ibrav = 0, nat = 4, ntyp = 3
/
ATOMIC_SPECIES
Ni 58.69 Ni.upf
Si 28.09 Si.upf
W 183.84 W.upf
CELL_PARAMETERS angstrom
2.755 0.000 0.000
0.000 2.755 0.000
0.000 0.000 7.288
ATOMIC_POSITIONS angstrom
Ni 0.000 0.000 3.894
Si 1.377 1.377 5.213
W 0.000 0.000 7.096
W 1.377 1.377 2.016
```

Output
- Space group: P4mm
- Formation energy from raw total energies: 5.3 kJ per mole of atoms
- Total magnetization: 0.00 μB per formula unit

---

Below is Si3NiW after structural relaxation, with properties calculated at the PBE level. Values from VASP.

Geometry as Quantum ESPRESSO input:
```
&SYSTEM
  ibrav = 0, nat = 5, ntyp = 3
/
ATOMIC_SPECIES
Ni 58.69 Ni.upf
Si 28.09 Si.upf
W 183.84 W.upf
CELL_PARAMETERS angstrom
-1.569 3.739 2.397
-4.004 -0.090 -2.481
-1.923 -2.864 3.208
ATOMIC_POSITIONS angstrom
Ni -3.748 0.393 1.562
Si -2.002 -0.045 -1.240
Si -0.962 -1.432 1.604
Si -0.785 1.870 1.199
W 0.000 0.000 0.000
```

Output
- Space group: Pm-3m
- E above lowest polymorph: 0.048 eV/f.u.
- Formation energy from raw total energies: 96.9 kJ per mole of atoms
- Total magnetization: 0.27 μB per formula unit

---

Below is SiNi3W after structural relaxation, with properties calculated at the PBE level. Values from VASP.

Geometry as Quantum ESPRESSO input:
```
&SYSTEM
  ibrav = 0, nat = 5, ntyp = 3
/
ATOMIC_SPECIES
Ni 58.69 Ni.upf
Si 28.09 Si.upf
W 183.84 W.upf
CELL_PARAMETERS angstrom
-0.525 0.605 4.447
2.550 -3.645 0.797
3.694 2.602 0.082
ATOMIC_POSITIONS angstrom
Ni 1.275 -1.822 0.399
Ni 1.847 1.301 0.041
Ni -0.262 0.303 2.224
Si 2.859 -0.219 2.663
W 0.000 0.000 0.000
```

Output
- Space group: Pm-3m
- E above lowest polymorph: 4.029 eV/f.u.
- Formation energy from raw total energies: 149.3 kJ per mole of atoms
- Total magnetization: 0.00 μB per formula unit

---

Below is SiNiW2 after structural relaxation, with properties calculated at the PBE level. Values from VASP.

Geometry as Quantum ESPRESSO input:
```
&SYSTEM
  ibrav = 0, nat = 4, ntyp = 3
/
ATOMIC_SPECIES
Ni 58.69 Ni.upf
Si 28.09 Si.upf
W 183.84 W.upf
CELL_PARAMETERS angstrom
-2.107 -0.514 1.862
1.917 -0.897 1.922
0.564 6.298 2.377
ATOMIC_POSITIONS angstrom
Ni 0.046 0.869 2.486
Si 0.328 4.018 3.674
W 0.561 6.265 2.364
W 0.285 3.182 1.201
```

Output
- Space group: P4/mmm
- Formation energy from raw total energies: 8.6 kJ per mole of atoms
- Total magnetization: 0.00 μB per formula unit